No. 1
{"formula": "Pa2BiO8", "functional": "PBE", "state": "optimized geometry", "lattice_angstrom": [[-1.8395, 3.0034, 6.1021], [1.8395, -3.0034, 6.1021], [1.8395, 3.0034, -6.1021]], "species": ["Pa", "Pa", "Bi", "O", "O", "O", "O", "O", "O", "O", "O"], "frac_coords": [[0.1899, 0.1899, 0.0000], [0.8101, 0.8101, 0.0000], [0.5000, 0.5000, 0.0000], [0.0333, 0.3223, 0.7110], [0.1234, 0.0000, 0.1234], [0.3881, 0.8881, 0.5000], [0.3886, 0.6777, 0.7110], [0.6114, 0.3223, 0.2890], [0.6119, 0.1119, 0.5000], [0.8766, 0.0000, 0.8766], [0.9667, 0.6777, 0.2890]], "spacegroup": "Immm, No. 71", "formation_energy_uncorrected_ev_per_atom": -2.279, "dos_ef_per_ev_fu": 2.97}

No. 2
{"formula": "LaTb3PmTm", "functional": "PBE", "state": "optimized geometry", "lattice_angstrom": [[10.0387, -2.8426, 0.0000], [10.0387, 2.8426, 0.0000], [-0.0521, 0.0000, 6.9920]], "species": ["La", "La", "Tb", "Tb", "Tb", "Tb", "Tb", "Tb", "Pm", "Pm", "Tm", "Tm"], "frac_coords": [[0.1447, 0.1447, 0.0363], [0.8553, 0.8553, 0.9637], [0.0225, 0.0225, 0.7435], [0.2795, 0.2795, 0.7510], [0.3402, 0.3402, 0.2597], [0.6598, 0.6598, 0.7403], [0.7205, 0.7205, 0.2490], [0.9775, 0.9775, 0.2565], [0.1461, 0.1461, 0.4658], [0.8539, 0.8539, 0.5342], [0.4444, 0.4444, 0.7325], [0.5556, 0.5556, 0.2675]], "spacegroup": "C2/m, No. 12", "dos_ef_per_ev_fu": 8.73, "energy_ev_per_atom": -4.46}

No. 3
{"formula": "TaRe4As", "functional": "PBE", "state": "optimized geometry", "lattice_angstrom": [[0.0000, 3.6915, 3.6915], [3.6915, 0.0000, 3.6915], [3.6915, 3.6915, 0.0000]], "species": ["Ta", "Re", "Re", "Re", "Re", "As"], "frac_coords": [[0.0000, 0.0000, 0.0000], [0.3754, 0.3754, 0.3754], [0.3754, 0.3754, 0.8737], [0.3754, 0.8737, 0.3754], [0.8737, 0.3754, 0.3754], [0.7500, 0.7500, 0.7500]], "spacegroup": "F-43m, No. 216", "dos_ef_per_ev_fu": 4.45, "energy_ev_per_atom": -10.63}

No. 4
{"formula": "LaAsBr2", "functional": "PBE", "state": "optimized geometry", "lattice_angstrom": [[7.5992, -2.0526, 0.0000], [7.5992, 2.0526, 0.0000], [-0.3543, 0.0000, 4.6603]], "species": ["La", "As", "Br", "Br"], "frac_coords": [[0.0000, 0.0000, 0.0000], [0.5000, 0.5000, 0.5000], [0.3529, 0.3529, 0.7914], [0.6471, 0.6471, 0.2086]], "spacegroup": "C2/m, No. 12", "formation_energy_uncorrected_ev_per_atom": -1.270, "relative_energy_ev_per_atom": 0.000}

No. 5
{"formula": "Tc2NiAg", "functional": "PBE", "state": "optimized geometry", "lattice_angstrom": [[2.6936, 0.0000, 0.0000], [0.0000, 4.0590, 0.0000], [0.0000, 0.0000, 5.3498]], "species": ["Tc", "Tc", "Ni", "Ag"], "frac_coords": [[0.0000, 0.0000, 0.2133], [0.0000, 0.0000, 0.7867], [0.5000, 0.5000, 0.0000], [0.5000, 0.5000, 0.5000]], "spacegroup": "Pmmm, No. 47", "dos_ef_per_ev_fu": 3.96, "relative_energy_ev_per_atom": 0.168}

No. 6
{"formula": "Sr2TmHg3", "functional": "PBE", "state": "optimized geometry", "lattice_angstrom": [[3.8466, 0.0000, 0.0000], [0.0000, 3.8466, 0.0000], [0.0000, 0.0000, 11.8744]], "species": ["Sr", "Sr", "Tm", "Hg", "Hg", "Hg"], "frac_coords": [[0.0000, 0.0000, 0.1761], [0.0000, 0.0000, 0.8239], [0.0000, 0.0000, 0.5000], [0.5000, 0.5000, 0.0000], [0.5000, 0.5000, 0.3582], [0.5000, 0.5000, 0.6418]], "spacegroup": "P4/mmm, No. 123", "dos_ef_per_ev_fu": 4.18, "energy_ev_per_atom": -1.96}

Number 1: size of the total moment 0.0 μB per cell. Number 2: size of the total moment 0.0 μB per cell. Number 3: size of the total moment 0.0 μB per cell. Number 4: size of the total moment 0.0 μB per cell. Number 5: size of the total moment 0.0 μB per cell. Number 6: size of the total moment 0.0 μB per cell.